## a
First-principles (PBE) data for YZn3O after structural relaxation, as listed in Alexandria via LeMat-Bulk.

Lattice parameters (Å, degrees): 5.679 5.679 5.679 90.00 90.00 90.00
Sites, in units of the cell vectors:
Y (0.000, 0.000, 0.000)
Zn (0.000, 0.000, 0.500)
Zn (0.000, 0.500, 0.000)
Zn (0.500, 0.000, 0.000)
O (0.500, 0.500, 0.500)

Values from the calculation:
calculated density	2731	kg/m³
SG	Pm-3m
magnetization	0.00	Bohr magnetons per cell

=====

## b
First-principles (PBE) data for YZn3O after structural relaxation, as listed in Alexandria via LeMat-Bulk.

Lattice parameters (Å, degrees): 4.459 4.459 4.459 90.00 90.00 90.00
Sites, in units of the cell vectors:
Y (0.000, 0.000, 0.000)
Zn (0.000, 0.500, 0.500)
Zn (0.500, 0.000, 0.500)
Zn (0.500, 0.500, 0.000)
O (0.500, 0.500, 0.500)

Values from the calculation:
calculated density	5641	kg/m³
SG	Pm-3m
magnetization	0.00	Bohr magnetons per cell

=====

What are the relative energies? In meV/atom: a 1353; b 0.

=====

## a
First-principles (PBE) data for Y4Zr3O12 after structural relaxation, as listed in Alexandria via LeMat-Bulk.

Lattice parameters (Å, degrees): 6.432 6.456 6.470 98.88 99.64 99.23
Sites, in units of the cell vectors:
Y (0.000, 0.000, 0.000)
Y (0.091, 0.554, 0.252)
Y (0.534, 0.298, 0.175)
Y (0.698, 0.829, 0.472)
Zr (0.250, 0.085, 0.550)
Zr (0.389, 0.692, 0.861)
Zr (0.778, 0.389, 0.724)
O (0.072, 0.599, 0.899)
O (0.214, 0.256, 0.298)
O (0.318, 0.771, 0.549)
O (0.338, 0.005, 0.941)
O (0.446, 0.372, 0.767)
O (0.465, 0.634, 0.174)
O (0.571, 0.130, 0.469)
O (0.710, 0.750, 0.806)
O (0.815, 0.505, 0.445)
O (0.818, 0.280, 0.025)
O (0.977, 0.130, 0.680)
O (0.983, 0.875, 0.300)

Values from the calculation:
calculated density	5309	kg/m³
SG	P1
magnetization	0.00	Bohr magnetons per cell

=====

## b
First-principles (PBE) data for Y4Zr3O12 after structural relaxation, as listed in Alexandria via LeMat-Bulk.

Lattice parameters (Å, degrees): 6.375 6.432 6.632 99.89 98.49 99.53
Sites, in units of the cell vectors:
Y (0.114, 0.301, 0.134)
Y (0.197, 0.866, 0.390)
Y (0.803, 0.134, 0.610)
Y (0.886, 0.699, 0.866)
Zr (0.347, 0.397, 0.668)
Zr (0.500, 0.000, 0.000)
Zr (0.653, 0.603, 0.332)
O (0.086, 0.416, 0.821)
O (0.087, 0.188, 0.433)
O (0.185, 0.934, 0.060)
O (0.327, 0.570, 0.424)
O (0.421, 0.088, 0.695)
O (0.478, 0.321, 0.120)
O (0.522, 0.679, 0.880)
O (0.579, 0.912, 0.305)
O (0.673, 0.430, 0.576)
O (0.815, 0.066, 0.940)
O (0.913, 0.812, 0.567)
O (0.914, 0.584, 0.179)

Values from the calculation:
calculated density	5249	kg/m³
SG	P-1
magnetization	0.00	Bohr magnetons per cell

=====

What are the relative energies? In meV/atom: a 9; b 0.

=====

## a
First-principles (PBE) data for Zr2ZnO after structural relaxation, as listed in Alexandria via LeMat-Bulk.

Lattice parameters (Å, degrees): 7.246 7.246 7.246 26.17 26.17 26.17
Sites, in units of the cell vectors:
Zr (0.229, 0.229, 0.229)
Zr (0.771, 0.771, 0.771)
Zn (0.000, 0.000, 0.000)
O (0.500, 0.500, 0.500)

Values from the calculation:
calculated density	6717	kg/m³
SG	R-3m
magnetization	0.00	Bohr magnetons per cell

=====

## b
First-principles (PBE) data for Zr2ZnO after structural relaxation, as listed in Alexandria via LeMat-Bulk.

Lattice parameters (Å, degrees): 6.653 6.653 6.653 131.40 131.40 71.17
Sites, in units of the cell vectors:
Zr (0.033, 0.625, 0.908)
Zr (0.375, 0.283, 0.408)
Zr (0.717, 0.125, 0.092)
Zr (0.875, 0.967, 0.592)
Zn (0.250, 0.750, 0.500)
Zn (0.500, 0.500, 0.000)
O (0.000, 0.000, 0.000)
O (0.750, 0.250, 0.500)

Values from the calculation:
calculated density	5403	kg/m³
SG	I-42d
magnetization	0.00	Bohr magnetons per cell

=====

What are the relative energies? In meV/atom: a 0; b 309.

=====

## a
First-principles (PBE) data for ZrZn3O after structural relaxation, as listed in Alexandria via LeMat-Bulk.

Lattice parameters (Å, degrees): 5.331 5.331 5.331 90.00 90.00 90.00
Sites, in units of the cell vectors:
Zr (0.000, 0.000, 0.000)
Zn (0.000, 0.000, 0.500)
Zn (0.000, 0.500, 0.000)
Zn (0.500, 0.000, 0.000)
O (0.500, 0.500, 0.500)

Values from the calculation:
calculated density	3326	kg/m³
SG	Pm-3m
magnetization	0.00	Bohr magnetons per cell

=====

## b
First-principles (PBE) data for ZrZn3O after structural relaxation, as listed in Alexandria via LeMat-Bulk.

Lattice parameters (Å, degrees): 4.314 4.314 4.314 90.00 90.00 90.00
Sites, in units of the cell vectors:
Zr (0.000, 0.000, 0.000)
Zn (0.000, 0.500, 0.500)
Zn (0.500, 0.000, 0.500)
Zn (0.500, 0.500, 0.000)
O (0.500, 0.500, 0.500)

Values from the calculation:
calculated density	6276	kg/m³
SG	Pm-3m
magnetization	1.66	Bohr magnetons per cell

=====

What are the relative energies? In meV/atom: a 1365; b 0.

=====

## a
First-principles (PBE) data for Zr4ZnO after structural relaxation, as listed in Alexandria via LeMat-Bulk.

Lattice parameters (Å, degrees): 7.448 7.448 6.047 105.09 105.09 44.26
Sites, in units of the cell vectors:
Zr (0.008, 0.189, 0.458)
Zr (0.189, 0.008, 0.958)
Zr (0.214, 0.402, 0.858)
Zr (0.402, 0.214, 0.358)
Zr (0.598, 0.786, 0.642)
Zr (0.786, 0.598, 0.142)
Zr (0.811, 0.992, 0.042)
Zr (0.992, 0.811, 0.542)
Zn (0.411, 0.589, 0.250)
Zn (0.589, 0.411, 0.750)
O (0.000, 0.500, 0.500)
O (0.500, 0.000, 0.000)

Values from the calculation:
calculated density	6596	kg/m³
SG	C2/c
magnetization	0.00	Bohr magnetons per cell

=====

## b
First-principles (PBE) data for Zr4ZnO after structural relaxation, as listed in Alexandria via LeMat-Bulk.

Lattice parameters (Å, degrees): 6.087 6.172 6.039 90.00 94.27 90.00
Sites, in units of the cell vectors:
Zr (0.113, 0.159, 0.174)
Zr (0.113, 0.341, 0.674)
Zr (0.327, 0.629, 0.096)
Zr (0.327, 0.871, 0.596)
Zr (0.673, 0.129, 0.404)
Zr (0.673, 0.371, 0.904)
Zr (0.887, 0.659, 0.326)
Zr (0.887, 0.841, 0.826)
Zn (0.500, 0.000, 0.000)
Zn (0.500, 0.500, 0.500)
O (0.000, 0.000, 0.500)
O (0.000, 0.500, 0.000)

Values from the calculation:
calculated density	6551	kg/m³
SG	P2_1/c
magnetization	0.00	Bohr magnetons per cell

=====

What are the relative energies? In meV/atom: a 0; b 86.

=====

## a
First-principles (PBE) data for P3Os after structural relaxation, as listed in Alexandria via LeMat-Bulk.

Lattice parameters (Å, degrees): 4.343 4.343 2.954 90.00 90.00 102.07
Sites, in units of the cell vectors:
P (0.000, 0.000, 0.000)
P (0.000, 0.500, 0.500)
P (0.500, 0.000, 0.500)
Os (0.500, 0.500, 0.000)

Values from the calculation:
calculated density	8631	kg/m³
SG	Cmmm
magnetization	0.00	Bohr magnetons per cell

=====

## b
First-principles (PBE) data for P3Os after structural relaxation, as listed in Alexandria via LeMat-Bulk.

Lattice parameters (Å, degrees): 5.828 7.227 5.660 90.00 90.00 90.00
Sites, in units of the cell vectors:
P (0.069, 0.250, 0.101)
P (0.194, 0.580, 0.377)
P (0.194, 0.920, 0.377)
P (0.306, 0.080, 0.877)
P (0.306, 0.420, 0.877)
P (0.431, 0.750, 0.601)
P (0.569, 0.250, 0.399)
P (0.694, 0.580, 0.123)
P (0.694, 0.920, 0.123)
P (0.806, 0.080, 0.623)
P (0.806, 0.420, 0.623)
P (0.931, 0.750, 0.899)
Os (0.183, 0.250, 0.507)
Os (0.317, 0.750, 0.007)
Os (0.683, 0.250, 0.993)
Os (0.817, 0.750, 0.493)

Values from the calculation:
calculated density	7888	kg/m³
SG	Pnma
magnetization	0.00	Bohr magnetons per cell

=====

## c
First-principles (PBE) data for P3Os after structural relaxation, as listed in Alexandria via LeMat-Bulk.

Lattice parameters (Å, degrees): 6.645 6.645 6.645 27.61 27.61 27.61
Sites, in units of the cell vectors:
P (0.000, 0.000, 0.000)
P (0.255, 0.255, 0.255)
P (0.745, 0.745, 0.745)
Os (0.500, 0.500, 0.500)

Values from the calculation:
calculated density	8452	kg/m³
SG	R-3m
magnetization	0.00	Bohr magnetons per cell

=====

What are the relative energies? In meV/atom: a 706; b 0; c 266.